[1]
Crystalline Cs2CaHg2Se4 at its relaxed geometry. Source: Alexandria via LeMat-Bulk, functional PBE-GGA.

a = 4.440 Å, b = 8.468 Å, c = 8.696 Å
α = 107.19°, β = 104.79°, γ = 90.00°
Fractional positions:
Cs 0.128 0.557 0.255
Cs 0.872 0.443 0.745
Ca 0.000 0.000 0.000
Hg 0.663 0.980 0.326
Hg 0.337 0.020 0.674
Se 0.203 0.177 0.407
Se 0.797 0.823 0.593
Se 0.512 0.768 0.024
Se 0.488 0.232 0.976

Values from the calculation:
E_form (uncorrected)   -8.8 eV/f.u.
Total energy   -27.09 eV/f.u.
Total magnetization   0.00 μB per formula unit

***

[2]
Crystalline CsSrCa2Hg at its relaxed geometry. Source: Alexandria via LeMat-Bulk, functional PBE-GGA.

a = 6.216 Å, b = 6.216 Å, c = 6.449 Å
α = 90.00°, β = 90.00°, γ = 90.00°
Fractional positions:
Cs 0.500 0.500 0.500
Sr 0.000 0.000 0.500
Ca 0.000 0.500 0.000
Ca 0.500 0.000 0.000
Hg 0.000 0.000 0.000

Values from the calculation:
Total energy   -7.25 eV/f.u.
Energy of formation from the pure elements   -82 meV/atom
DOS at the Fermi energy   6.7 states/eV per cell
Total magnetization   0.00 μB per formula unit

***

Please write out number 2 again, unchanged.
Crystalline CsSrCa2Hg at its relaxed geometry. Source: Alexandria via LeMat-Bulk, functional PBE-GGA.

a = 6.216 Å, b = 6.216 Å, c = 6.449 Å
α = 90.00°, β = 90.00°, γ = 90.00°
Fractional positions:
Cs 0.500 0.500 0.500
Sr 0.000 0.000 0.500
Ca 0.000 0.500 0.000
Ca 0.500 0.000 0.000
Hg 0.000 0.000 0.000

Values from the calculation:
Total energy   -7.25 eV/f.u.
Energy of formation from the pure elements   -82 meV/atom
DOS at the Fermi energy   6.7 states/eV per cell
Total magnetization   0.00 μB per formula unit